Entry 1:
# Ta4ZnTe, PBEsol geometry, DFT meta-GGA SCAN
# - Crystal system: cubic
# - Fermi-level density of states: 0.61 states/eV/atom
# - E_form (uncorrected): 0.529 eV per atom
# - Total DFT energy (no corrections): -52.3206 eV per atom
data_Ta4ZnTe
_chemical_formula_sum 'Ta16 Zn4 Te4'
_cell_length_a 7.7259
_cell_length_b 7.7259
_cell_length_c 7.7259
_cell_angle_alpha 90.00
_cell_angle_beta 90.00
_cell_angle_gamma 90.00
_space_group_name_H-M_alt 'F -4 3 m'
_space_group_IT_number 216
_space_group_name_Hall 'F -4 2 3'
loop_
_atom_site_label
_atom_site_fract_x
_atom_site_fract_y
_atom_site_fract_z
Ta1 0.1235 0.1235 0.1235
Zn1 0.2500 0.2500 0.7500
Te1 0.0000 0.0000 0.5000

---

Entry 2:
# Ta2ZnTe, PBEsol geometry, DFT meta-GGA SCAN
# - Crystal system: orthorhombic
# - Fermi-level density of states: 0.60 states/eV/atom
# - Energy relative to the lowest polymorph listed for this composition: 0.0161 eV per atom
# - E_form (uncorrected): 0.237 eV per atom
# - Total DFT energy (no corrections): -45.7459 eV per atom
data_Ta2ZnTe
_chemical_formula_sum 'Ta4 Zn2 Te2'
_cell_length_a 3.4864
_cell_length_b 4.5488
_cell_length_c 8.9512
_cell_angle_alpha 90.00
_cell_angle_beta 90.00
_cell_angle_gamma 90.00
_space_group_name_H-M_alt 'I m m 2'
_space_group_IT_number 44
loop_
_space_group_symop_operation_xyz
'x,y,z'
'-x,-y,z'
'-x,y,z'
'x,-y,z'
'x+1/2,y+1/2,z+1/2'
'-x+1/2,-y+1/2,z+1/2'
'-x+1/2,y+1/2,z+1/2'
'x+1/2,-y+1/2,z+1/2'
loop_
_atom_site_label
_atom_site_fract_x
_atom_site_fract_y
_atom_site_fract_z
Ta1 0.0000 0.0000 0.0000
Ta2 0.0000 0.5000 0.2532
Zn1 0.0000 0.0000 0.5058
Te1 0.0000 0.5000 0.7499

---

Entry 3:
# Ta3ZnTe, PBEsol geometry, DFT meta-GGA SCAN
# - Crystal system: cubic
# - Fermi-level density of states: 1.21 states/eV/atom
# - E_form (uncorrected): 2.004 eV per atom
# - Total DFT energy (no corrections): -48.0995 eV per atom
data_Ta3ZnTe
_chemical_formula_sum 'Ta3 Zn1 Te1'
_cell_length_a 4.9391
_cell_length_b 4.9391
_cell_length_c 4.9391
_cell_angle_alpha 90.00
_cell_angle_beta 90.00
_cell_angle_gamma 90.00
_space_group_name_H-M_alt 'P m -3 m'
_space_group_IT_number 221
_space_group_name_Hall '-P 4 2 3'
loop_
_atom_site_label
_atom_site_fract_x
_atom_site_fract_y
_atom_site_fract_z
Ta1 0.0000 0.0000 0.5000
Zn1 0.5000 0.5000 0.5000
Te1 0.0000 0.0000 0.0000

---

Entry 4:
# Ta2ZnTe, PBEsol geometry, DFT meta-GGA SCAN
# - Crystal system: trigonal
# - Fermi-level density of states: 0.83 states/eV/atom
# - Energy relative to the lowest polymorph listed for this composition: 0.1608 eV per atom
# - E_form (uncorrected): 0.382 eV per atom
# - Total DFT energy (no corrections): -45.6012 eV per atom
data_Ta2ZnTe
_chemical_formula_sum 'Ta6 Zn3 Te3'
_cell_length_a 3.0937
_cell_length_b 3.0937
_cell_length_c 26.3473
_cell_angle_alpha 90.00
_cell_angle_beta 90.00
_cell_angle_gamma 120.00
_space_group_name_H-M_alt 'R -3 m'
_space_group_IT_number 166
_space_group_name_Hall '-R 3 2"'
loop_
_atom_site_label
_atom_site_fract_x
_atom_site_fract_y
_atom_site_fract_z
Ta1 0.0000 0.0000 0.2485
Zn1 0.0000 0.0000 0.5000
Te1 0.0000 0.0000 0.0000

---

Entry 5:
# Ta2ZnTe, PBEsol geometry, DFT meta-GGA SCAN
# - Crystal system: orthorhombic
# - Fermi-level density of states: 0.48 states/eV/atom
# - Energy relative to the lowest polymorph listed for this composition: 0.0000 eV per atom
# - E_form (uncorrected): 0.221 eV per atom
# - Total DFT energy (no corrections): -45.7620 eV per atom
data_Ta2ZnTe
_chemical_formula_sum 'Ta4 Zn2 Te2'
_cell_length_a 3.3690
_cell_length_b 4.8030
_cell_length_c 8.7988
_cell_angle_alpha 90.00
_cell_angle_beta 90.00
_cell_angle_gamma 90.00
_space_group_name_H-M_alt 'I m m m'
_space_group_IT_number 71
_space_group_name_Hall '-I 2 2'
loop_
_atom_site_label
_atom_site_fract_x
_atom_site_fract_y
_atom_site_fract_z
Ta1 0.0000 0.0000 0.2453
Zn1 0.0000 0.5000 0.5000
Te1 0.0000 0.5000 0.0000

---

Entry 6:
# ZrTa2Te, PBEsol geometry, DFT meta-GGA SCAN
# - Crystal system: monoclinic
# - Fermi-level density of states: 0.37 states/eV/atom
# - E_form (uncorrected): -0.044 eV per atom
# - Total DFT energy (no corrections): -50.3234 eV per atom
data_ZrTa2Te
_chemical_formula_sum 'Zr1 Ta2 Te1'
_cell_length_a 3.3379
_cell_length_b 4.5974
_cell_length_c 5.4251
_cell_angle_alpha 90.00
_cell_angle_beta 107.71
_cell_angle_gamma 90.00
_space_group_name_H-M_alt 'P 1 m 1'
_space_group_IT_number 6
loop_
_space_group_symop_operation_xyz
'x,y,z'
'x,-y,z'
loop_
_atom_site_label
_atom_site_fract_x
_atom_site_fract_y
_atom_site_fract_z
Zr1 0.0000 0.0000 0.0000
Ta1 0.2601 0.0000 0.5172
Ta2 0.7148 0.5000 0.4248
Te1 0.4360 0.5000 0.8711